#w
LaCu3I, relaxed, DFT GGA-PBE; SG = Pm-3m (221)
1.0
4.989 0.000 0.000
0.000 4.989 0.000
0.000 0.000 4.989
La Cu I
1 3 1
Direct
0.000 0.000 0.000
0.000 0.500 0.500
0.500 0.000 0.500
0.500 0.500 0.000
0.500 0.500 0.500

---

#x
LaCu3I, relaxed, DFT GGA-PBE; SG = Pm-3m (221)
1.0
5.428 0.000 0.000
0.000 5.428 0.000
0.000 0.000 5.428
La Cu I
1 3 1
Direct
0.000 0.000 0.000
0.000 0.000 0.500
0.000 0.500 0.000
0.500 0.000 0.000
0.500 0.500 0.500

---

Of them, the most stable is #w and the least stable is #x.

---

#w
LaCu2I, relaxed, DFT GGA-PBE; SG = I-42d (122)
1.0
-4.029 4.029 3.087
4.029 -4.029 3.087
4.029 4.029 -3.087
La Cu I
2 4 2
Direct
0.000 0.000 0.000
0.750 0.250 0.500
0.140 0.625 0.015
0.375 0.390 0.515
0.610 0.125 0.985
0.875 0.860 0.485
0.250 0.750 0.500
0.500 0.500 0.000

---

#x
LaCu2I, relaxed, DFT GGA-PBE; SG = Fm-3m (225)
1.0
0.000 3.598 3.598
3.598 0.000 3.598
3.598 3.598 0.000
La Cu I
1 2 1
Direct
0.000 0.000 0.000
0.250 0.250 0.250
0.750 0.750 0.750
0.500 0.500 0.500

---

Of them, the most stable is #w and the least stable is #x.

---

#w
LaCu2I2, relaxed, DFT GGA-PBE; SG = P4/mbm (127)
1.0
8.264 0.000 0.000
0.000 8.264 0.000
0.000 0.000 3.987
La Cu I
2 4 4
Direct
0.000 0.000 0.000
0.500 0.500 0.000
0.191 0.309 0.500
0.309 0.809 0.500
0.691 0.191 0.500
0.809 0.691 0.500
0.149 0.649 0.000
0.351 0.149 0.000
0.649 0.851 0.000
0.851 0.351 0.000

---

#x
LaCu2I2, relaxed, DFT GGA-PBE; SG = I4/mmm (139)
1.0
-1.861 1.861 10.595
1.861 -1.861 10.595
1.861 1.861 -10.595
La Cu I
1 2 2
Direct
0.000 0.000 0.000
0.250 0.750 0.500
0.750 0.250 0.500
0.406 0.406 0.000
0.594 0.594 0.000

---

Of them, the most stable is #x and the least stable is #w.

---

#w
LaCuI2, relaxed, DFT GGA-PBE; SG = Fm-3m (225)
1.0
0.000 3.894 3.894
3.894 0.000 3.894
3.894 3.894 0.000
La Cu I
1 1 2
Direct
0.000 0.000 0.000
0.500 0.500 0.500
0.250 0.250 0.250
0.750 0.750 0.750

---

#x
LaCuI2, relaxed, DFT GGA-PBE; SG = I-42d (122)
1.0
-3.588 3.588 5.699
3.588 -3.588 5.699
3.588 3.588 -5.699
La Cu I
2 2 4
Direct
0.000 0.000 0.000
0.750 0.250 0.500
0.250 0.750 0.500
0.500 0.500 0.000
0.200 0.625 0.075
0.375 0.450 0.575
0.550 0.125 0.925
0.875 0.800 0.425

---

#y
LaCuI2, relaxed, DFT GGA-PBE; SG = R-3m (166)
1.0
2.049 1.183 9.446
-2.049 1.183 9.446
0.000 -2.366 9.446
La Cu I
1 1 2
Direct
0.000 0.000 0.000
0.500 0.500 0.500
0.111 0.111 0.111
0.889 0.889 0.889

---

Of them, the most stable is #w and the least stable is #y.

---

#w
La2CuPdI, relaxed, DFT GGA-PBE; SG = P4/mmm (123)
1.0
5.923 0.000 0.000
0.000 5.923 0.000
0.000 0.000 4.700
La Cu Pd I
2 1 1 1
Direct
0.000 0.500 0.000
0.500 0.000 0.000
0.000 0.000 0.500
0.500 0.500 0.500
0.000 0.000 0.000

---

#x
La2CuPdI, relaxed, DFT GGA-PBE; SG = P4/mmm (123)
1.0
5.558 0.000 0.000
0.000 5.558 0.000
0.000 0.000 4.966
La Cu Pd I
2 1 1 1
Direct
0.000 0.500 0.000
0.500 0.000 0.000
0.000 0.000 0.000
0.500 0.500 0.500
0.000 0.000 0.500

---

Of them, the most stable is #x and the least stable is #w.

---

#w
LiCuI3, relaxed, DFT GGA-PBE; SG = Pm-3m (221)
1.0
5.518 0.000 0.000
0.000 5.518 0.000
0.000 0.000 5.518
Li Cu I
1 1 3
Direct
0.000 0.000 0.000
0.500 0.500 0.500
0.000 0.500 0.500
0.500 0.000 0.500
0.500 0.500 0.000

---

#x
LiCuI3, relaxed, DFT GGA-PBE; SG = P2_1/m (11)
1.0
7.435 0.000 0.000
0.000 4.388 0.000
-3.096 0.000 10.569
Li Cu I
2 2 6
Direct
0.089 0.250 0.332
0.911 0.750 0.668
0.447 0.250 0.837
0.553 0.750 0.163
0.167 0.250 0.621
0.289 0.750 0.276
0.300 0.750 0.917
0.700 0.250 0.083
0.711 0.250 0.724
0.833 0.750 0.379

---

Of them, the most stable is #x and the least stable is #w.

---

#w
Li2CuI4, relaxed, DFT GGA-PBE; SG = P-42m (111)
1.0
6.348 0.000 0.000
0.000 6.348 0.000
0.000 0.000 6.816
Li Cu I
2 1 4
Direct
0.000 0.500 0.000
0.500 0.000 0.000
0.000 0.000 0.000
0.230 0.230 0.236
0.230 0.770 0.764
0.770 0.230 0.764
0.770 0.770 0.236

---

#x
Li2CuI4, relaxed, DFT GGA-PBE; SG = C2/m (12)
1.0
7.273 -2.158 0.000
7.273 2.158 0.000
-3.086 0.000 6.468
Li Cu I
2 1 4
Direct
0.238 0.238 0.269
0.762 0.762 0.731
0.500 0.500 0.500
0.135 0.135 0.794
0.387 0.387 0.697
0.613 0.613 0.303
0.865 0.865 0.206

---

#y
Li2CuI4, relaxed, DFT GGA-PBE; SG = I4/mmm (139)
1.0
-2.790 2.790 7.190
2.790 -2.790 7.190
2.790 2.790 -7.190
Li Cu I
2 1 4
Direct
0.119 0.119 0.000
0.881 0.881 0.000
0.500 0.500 0.000
0.000 0.500 0.500
0.307 0.307 0.000
0.500 0.000 0.500
0.693 0.693 0.000

---

Of them, the most stable is #w and the least stable is #y.

---

#w
LiCu3I, relaxed, DFT GGA-PBE; SG = Pm-3m (221)
1.0
4.452 0.000 0.000
0.000 4.452 0.000
0.000 0.000 4.452
Li Cu I
1 3 1
Direct
0.000 0.000 0.000
0.000 0.000 0.500
0.000 0.500 0.000
0.500 0.000 0.000
0.500 0.500 0.500

---

#x
LiCu3I, relaxed, DFT GGA-PBE; SG = Pm-3m (221)
1.0
5.067 0.000 0.000
0.000 5.067 0.000
0.000 0.000 5.067
Li Cu I
1 3 1
Direct
0.000 0.000 0.000
0.000 0.500 0.500
0.500 0.000 0.500
0.500 0.500 0.000
0.500 0.500 0.500

---

Of them, the most stable is #w and the least stable is #x.